Compound: Ac4I3N2
Source: Alexandria via LeMat-Bulk
Functional: PBE-GGA
Structure: relaxed

Summary:
Energy: -48.43 eV per formula unit
Spin magnetization: 1.42 Bohr magnetons per cell
Formation energy without anion corrections: -1188 meV per atom

a b c (Å): 12.2011 12.2011 12.2011
angles (deg): 141.55 56.54 140.19
Positions (direct):
Ac 0.1377 0.0000 0.6377
Ac 0.1377 0.5000 0.1377
Ac 0.2216 0.1709 0.0507
Ac 0.3799 0.8291 0.5507
Ac 0.6201 0.1709 0.4493
Ac 0.7784 0.8291 0.9493
Ac 0.8623 0.0000 0.3623
Ac 0.8623 0.5000 0.8623
I 0.1490 0.8990 0.2500
I 0.2123 0.5494 0.6629
I 0.3865 0.5494 0.8371
I 0.6135 0.4506 0.1629
I 0.7877 0.4506 0.3371
I 0.8510 0.1010 0.7500
N 0.0650 0.1261 0.9389
N 0.3128 0.8739 0.4389
N 0.6872 0.1261 0.5611
N 0.9350 0.8739 0.0611